1:
The following is a DFT calculation (PBE) of a geometry-optimized RbV3C structure.

a b c (Å): 4.447 4.447 4.447
angles (deg): 90.00 90.00 90.00
Atoms (fractional coordinates):
1 V 0.000 0.500 0.000
2 V 0.000 0.000 0.500
3 V 0.500 0.000 0.000
4 C 0.500 0.500 0.500
5 Rb 0.000 0.000 0.000

---

2:
The following is a DFT calculation (PBE) of a geometry-optimized RbV3C structure.

a b c (Å): 4.238 4.238 4.238
angles (deg): 90.00 90.00 90.00
Atoms (fractional coordinates):
1 Rb 0.500 0.500 0.500
2 V 0.000 0.000 0.500
3 V 0.000 0.500 0.000
4 V 0.500 0.000 0.000
5 C 0.000 0.000 0.000

---

Of them, 2 has the highest stability.

---

1:
The following is a DFT calculation (PBE) of a geometry-optimized RbVC2 structure.

a b c (Å): 4.365 4.365 4.365
angles (deg): 60.00 60.00 60.00
Atoms (fractional coordinates):
1 Rb 0.500 0.500 0.500
2 C 0.750 0.750 0.750
3 C 0.250 0.250 0.250
4 V 0.000 0.000 0.000

---

2:
The following is a DFT calculation (PBE) of a geometry-optimized RbVC2 structure.

a b c (Å): 6.163 6.163 6.173
angles (deg): 60.06 60.06 90.00
Atoms (fractional coordinates):
1 Rb 0.000 0.000 0.000
2 Rb 0.750 0.250 0.500
3 V 0.250 0.750 0.500
4 V 0.500 0.500 0.000
5 C 0.377 0.625 0.250
6 C 0.373 0.125 0.250
7 C 0.375 0.627 0.750
8 C 0.875 0.623 0.750

---

Of them, 2 has the highest stability.

---

1:
The following is a DFT calculation (PBE) of a geometry-optimized RbW3C structure.

a b c (Å): 4.371 4.371 4.371
angles (deg): 90.00 90.00 90.00
Atoms (fractional coordinates):
1 W 0.500 0.000 0.000
2 W 0.000 0.000 0.500
3 W 0.000 0.500 0.000
4 Rb 0.500 0.500 0.500
5 C 0.000 0.000 0.000

---

2:
The following is a DFT calculation (PBE) of a geometry-optimized RbW3C structure.

a b c (Å): 4.679 4.679 4.679
angles (deg): 90.00 90.00 90.00
Atoms (fractional coordinates):
1 W 0.000 0.500 0.000
2 W 0.500 0.000 0.000
3 W 0.000 0.000 0.500
4 C 0.500 0.500 0.500
5 Rb 0.000 0.000 0.000

---

Of them, 1 has the highest stability.

---

1:
The following is a DFT calculation (PBE) of a geometry-optimized RbYC structure.

a b c (Å): 6.992 6.992 8.449
angles (deg): 90.00 90.00 120.00
Atoms (fractional coordinates):
1 Y 0.000 0.000 0.250
2 Y 0.000 0.000 0.750
3 C 0.000 0.000 0.500
4 C 0.000 0.000 0.000
5 Rb 0.333 0.667 0.250
6 Rb 0.667 0.333 0.750

---

2:
The following is a DFT calculation (PBE) of a geometry-optimized RbYC structure.

a b c (Å): 3.655 3.655 13.325
angles (deg): 90.11 89.87 90.00
Atoms (fractional coordinates):
1 Y 0.294 0.159 0.501
2 Y 0.792 0.660 0.677
3 C 0.795 0.659 0.492
4 C 0.294 0.160 0.687
5 Rb 0.271 0.164 0.919
6 Rb 0.779 0.657 0.259

---

Of them, 2 has the highest stability.

---

1:
The following is a DFT calculation (PBE) of a geometry-optimized RbYC structure.

a b c (Å): 12.869 4.190 4.191
angles (deg): 119.92 85.15 86.01
Atoms (fractional coordinates):
1 Rb 0.184 0.644 0.653
2 Rb 0.816 0.356 0.347
3 C 0.608 0.117 0.781
4 C 0.392 0.883 0.219
5 Y 0.411 0.207 0.876
6 Y 0.589 0.793 0.124

---

2:
The following is a DFT calculation (PBE) of a geometry-optimized RbYC structure.

a b c (Å): 7.400 3.978 14.451
angles (deg): 90.00 90.00 90.00
Atoms (fractional coordinates):
1 Rb 0.080 0.750 0.612
2 Rb 0.920 0.250 0.388
3 Rb 0.420 0.250 0.112
4 Rb 0.580 0.750 0.888
5 C 0.673 0.750 0.517
6 C 0.173 0.750 0.983
7 C 0.327 0.250 0.483
8 C 0.827 0.250 0.017
9 Y 0.925 0.750 0.085
10 Y 0.425 0.750 0.415
11 Y 0.075 0.250 0.915
12 Y 0.575 0.250 0.585

---

3:
The following is a DFT calculation (PBE) of a geometry-optimized RbYC structure.

a b c (Å): 4.902 10.410 4.265
angles (deg): 90.00 90.00 90.00
Atoms (fractional coordinates):
1 Rb 0.000 0.801 0.500
2 Rb 0.500 0.199 0.000
3 C 0.000 0.548 0.000
4 C 0.500 0.452 0.500
5 Y 0.500 0.560 0.000
6 Y 0.000 0.440 0.500

---

4:
The following is a DFT calculation (PBE) of a geometry-optimized RbYC structure.

a b c (Å): 8.607 4.236 8.963
angles (deg): 90.00 90.00 90.00
Atoms (fractional coordinates):
1 Rb 0.482 0.250 0.667
2 Rb 0.518 0.750 0.333
3 Rb 0.982 0.250 0.833
4 Rb 0.018 0.750 0.167
5 Y 0.139 0.750 0.548
6 Y 0.361 0.250 0.048
7 Y 0.639 0.750 0.952
8 Y 0.861 0.250 0.452
9 C 0.869 0.750 0.578
10 C 0.131 0.250 0.422
11 C 0.369 0.750 0.922
12 C 0.631 0.250 0.078

---

Of them, 3 has the highest stability.

---

1:
The following is a DFT calculation (PBE) of a geometry-optimized RbYC structure.

a b c (Å): 4.073 4.073 6.478
angles (deg): 90.00 90.00 120.00
Atoms (fractional coordinates):
1 Y 0.000 0.000 0.000
2 Rb 0.667 0.333 0.500
3 C 0.333 0.667 0.000

---

2:
The following is a DFT calculation (PBE) of a geometry-optimized RbYC structure.

a b c (Å): 4.328 4.307 14.980
angles (deg): 83.40 86.51 128.60
Atoms (fractional coordinates):
1 Y 0.084 0.605 0.506
2 Y 0.666 0.753 0.673
3 C 0.315 0.276 0.566
4 C 0.435 0.082 0.612
5 Rb 0.648 0.647 0.247
6 Rb 0.857 0.398 0.932

---

3:
The following is a DFT calculation (PBE) of a geometry-optimized RbYC structure.

a b c (Å): 3.968 3.968 13.770
angles (deg): 90.00 90.00 120.00
Atoms (fractional coordinates):
1 Y 0.333 0.667 0.232
2 Y 0.333 0.667 0.768
3 Rb 0.667 0.333 0.500
4 Rb 0.667 0.333 0.000
5 C 0.000 0.000 0.808
6 C 0.000 0.000 0.192

---

4:
The following is a DFT calculation (PBE) of a geometry-optimized RbYC structure.

a b c (Å): 4.629 4.629 4.629
angles (deg): 60.00 60.00 60.00
Atoms (fractional coordinates):
1 C 0.500 0.500 0.500
2 Y 0.750 0.750 0.750
3 Rb 0.250 0.250 0.250

---

Of them, 2 has the highest stability.